Record 1
! K2CrCuSn PBE optimized geometry; values from VASP
&SYSTEM
  ibrav = 0, nat = 5, ntyp = 4
/
ATOMIC_SPECIES
K 39.10 K.upf
Cr 52.00 Cr.upf
Cu 63.55 Cu.upf
Sn 118.71 Sn.upf
CELL_PARAMETERS angstrom
6.772 0.000 0.000
0.000 6.772 0.000
0.000 0.000 4.837
ATOMIC_POSITIONS crystal
K 0.000 0.500 0.000
K 0.500 0.000 0.000
Cr 0.000 0.000 0.500
Cu 0.500 0.500 0.500
Sn 0.500 0.500 0.000
! VASP energy   -3.200 eV per atom
! Calculated density   2.34 g cm⁻³
! Space-group type   P4/mmm (123)
! Energy of formation   0.783 eV/atom



Record 2
! KSrCr2Cu PBE optimized geometry; values from VASP
&SYSTEM
  ibrav = 0, nat = 5, ntyp = 4
/
ATOMIC_SPECIES
K 39.10 K.upf
Sr 87.62 Sr.upf
Cr 52.00 Cr.upf
Cu 63.55 Cu.upf
CELL_PARAMETERS angstrom
5.645 0.000 0.000
0.000 5.645 0.000
0.000 0.000 5.422
ATOMIC_POSITIONS crystal
K 0.000 0.000 0.000
Sr 0.500 0.500 0.500
Cr 0.000 0.500 0.000
Cr 0.500 0.000 0.000
Cu 0.000 0.000 0.500
! VASP energy   -3.722 eV per atom
! Calculated density   2.83 g cm⁻³
! Space-group type   P4/mmm (123)
! Energy of formation   1.502 eV/atom



Record 3
! KCrCuTe2 PBE optimized geometry; values from VASP
&SYSTEM
  ibrav = 0, nat = 10, ntyp = 4
/
ATOMIC_SPECIES
K 39.10 K.upf
Cr 52.00 Cr.upf
Cu 63.55 Cu.upf
Te 127.60 Te.upf
CELL_PARAMETERS angstrom
8.138 0.000 0.000
0.000 6.038 0.000
-2.175 0.000 6.028
ATOMIC_POSITIONS crystal
K 0.000 0.231 0.250
K 0.000 0.769 0.750
Cr 0.500 0.441 0.250
Cr 0.500 0.559 0.750
Cu 0.500 0.000 0.000
Cu 0.500 0.000 0.500
Te 0.270 0.283 0.863
Te 0.270 0.717 0.363
Te 0.730 0.283 0.637
Te 0.730 0.717 0.137
! VASP energy   -4.497 eV per atom
! Calculated density   4.60 g cm⁻³
! Space-group type   P2/c (13)



Record 4
! KCrCu2Te4 PBE optimized geometry; values from VASP
&SYSTEM
  ibrav = 0, nat = 8, ntyp = 4
/
ATOMIC_SPECIES
K 39.10 K.upf
Cr 52.00 Cr.upf
Cu 63.55 Cu.upf
Te 127.60 Te.upf
CELL_PARAMETERS angstrom
-3.352 4.203 4.484
3.352 -4.203 4.484
3.352 4.203 -4.484
ATOMIC_POSITIONS crystal
K 0.000 0.000 0.000
Cr 0.500 0.500 0.000
Cu 0.361 0.861 0.500
Cu 0.639 0.139 0.500
Te 0.156 0.130 0.612
Te 0.482 0.870 0.026
Te 0.518 0.544 0.388
Te 0.844 0.456 0.974
! VASP energy   -4.036 eV per atom
! Calculated density   4.79 g cm⁻³
! Space-group type   I222 (23)



Record 5
! KVCr2Cu PBE optimized geometry; values from VASP
&SYSTEM
  ibrav = 0, nat = 5, ntyp = 4
/
ATOMIC_SPECIES
K 39.10 K.upf
V 50.94 V.upf
Cr 52.00 Cr.upf
Cu 63.55 Cu.upf
CELL_PARAMETERS angstrom
4.161 0.000 0.000
0.000 4.161 0.000
0.000 0.000 4.232
ATOMIC_POSITIONS crystal
K 0.000 0.000 0.000
V 0.000 0.000 0.500
Cr 0.000 0.500 0.000
Cr 0.500 0.000 0.000
Cu 0.500 0.500 0.500
! VASP energy   -3.966 eV per atom
! Calculated density   5.84 g cm⁻³
! Space-group type   P4/mmm (123)
! Energy of formation   2.746 eV/atom



Record 6
! LaCrCu2 PBE optimized geometry; values from VASP
&SYSTEM
  ibrav = 0, nat = 4, ntyp = 3
/
ATOMIC_SPECIES
La 138.91 La.upf
Cr 52.00 Cr.upf
Cu 63.55 Cu.upf
CELL_PARAMETERS angstrom
0.000 3.339 3.339
3.339 0.000 3.339
3.339 3.339 0.000
ATOMIC_POSITIONS crystal
La 0.000 0.000 0.000
Cr 0.750 0.750 0.750
Cu 0.250 0.250 0.250
Cu 0.500 0.500 0.500
! Energy above the most stable polymorph in this dataset   228 meV/atom
! VASP energy   -5.357 eV per atom
! Calculated density   7.09 g cm⁻³
! Space-group type   F-43m (216)
! Energy of formation   0.328 eV/atom



Record 7
! La2CrCu PBE optimized geometry; values from VASP
&SYSTEM
  ibrav = 0, nat = 4, ntyp = 3
/
ATOMIC_SPECIES
La 138.91 La.upf
Cr 52.00 Cr.upf
Cu 63.55 Cu.upf
CELL_PARAMETERS angstrom
3.782 -1.728 0.000
3.782 1.728 0.000
-1.373 0.000 8.047
ATOMIC_POSITIONS crystal
La 0.243 0.243 0.249
La 0.757 0.757 0.751
Cr 0.000 0.000 0.500
Cu 0.500 0.500 0.000
! Energy above the most stable polymorph in this dataset   208 meV/atom
! VASP energy   -5.515 eV per atom
! Calculated density   6.21 g cm⁻³
! Space-group type   C2/m (12)
! Energy of formation   0.378 eV/atom



Record 8
! LaCr2Cu2 PBE optimized geometry; values from VASP
&SYSTEM
  ibrav = 0, nat = 5, ntyp = 3
/
ATOMIC_SPECIES
La 138.91 La.upf
Cr 52.00 Cr.upf
Cu 63.55 Cu.upf
CELL_PARAMETERS angstrom
-2.312 2.312 4.180
2.312 -2.312 4.180
2.312 2.312 -4.180
ATOMIC_POSITIONS crystal
La 0.000 0.000 0.000
Cr 0.393 0.393 0.000
Cr 0.607 0.607 0.000
Cu 0.250 0.750 0.500
Cu 0.750 0.250 0.500
! Energy above the most stable polymorph in this dataset   0 meV/atom
! VASP energy   -6.127 eV per atom
! Calculated density   6.87 g cm⁻³
! Space-group type   I4/mmm (139)
! Energy of formation   0.347 eV/atom



Record 9
! La3CrCu PBE optimized geometry; values from VASP
&SYSTEM
  ibrav = 0, nat = 5, ntyp = 3
/
ATOMIC_SPECIES
La 138.91 La.upf
Cr 52.00 Cr.upf
Cu 63.55 Cu.upf
CELL_PARAMETERS angstrom
5.266 0.000 0.000
0.000 5.266 0.000
0.000 0.000 5.266
ATOMIC_POSITIONS crystal
La 0.000 0.000 0.500
La 0.000 0.500 0.000
La 0.500 0.000 0.000
Cr 0.000 0.000 0.000
Cu 0.500 0.500 0.500
! VASP energy   -5.306 eV per atom
! Calculated density   6.05 g cm⁻³
! Space-group type   Pm-3m (221)
! Energy of formation   0.395 eV/atom



Record 10
! LaCrCu PBE optimized geometry; values from VASP
&SYSTEM
  ibrav = 0, nat = 3, ntyp = 3
/
ATOMIC_SPECIES
La 138.91 La.upf
Cr 52.00 Cr.upf
Cu 63.55 Cu.upf
CELL_PARAMETERS angstrom
0.000 3.315 3.315
3.315 0.000 3.315
3.315 3.315 0.000
ATOMIC_POSITIONS crystal
La 0.000 0.000 0.000
Cr 0.500 0.500 0.500
Cu 0.250 0.250 0.250
! Energy above the most stable polymorph in this dataset   157 meV/atom
! VASP energy   -5.801 eV per atom
! Calculated density   5.80 g cm⁻³
! Space-group type   F-43m (216)
! Energy of formation   0.415 eV/atom



Record 11
! LaCr2Cu2 PBE optimized geometry; values from VASP
&SYSTEM
  ibrav = 0, nat = 10, ntyp = 3
/
ATOMIC_SPECIES
La 138.91 La.upf
Cr 52.00 Cr.upf
Cu 63.55 Cu.upf
CELL_PARAMETERS angstrom
7.644 0.000 0.000
0.000 7.644 0.000
0.000 0.000 2.651
ATOMIC_POSITIONS crystal
La 0.000 0.000 0.000
La 0.500 0.500 0.000
Cr 0.170 0.330 0.500
Cr 0.330 0.830 0.500
Cr 0.670 0.170 0.500
Cr 0.830 0.670 0.500
Cu 0.118 0.618 0.000
Cu 0.382 0.118 0.000
Cu 0.618 0.882 0.000
Cu 0.882 0.382 0.000
! Energy above the most stable polymorph in this dataset   335 meV/atom
! VASP energy   -5.791 eV per atom
! Calculated density   7.93 g cm⁻³
! Space-group type   P4/mbm (127)
! Energy of formation   0.682 eV/atom



Record 12
! LaCr2Cu2 PBE optimized geometry; values from VASP
&SYSTEM
  ibrav = 0, nat = 5, ntyp = 3
/
ATOMIC_SPECIES
La 138.91 La.upf
Cr 52.00 Cr.upf
Cu 63.55 Cu.upf
CELL_PARAMETERS angstrom
-1.812 1.812 6.308
1.812 -1.812 6.308
1.812 1.812 -6.308
ATOMIC_POSITIONS crystal
La 0.000 0.000 0.000
Cr 0.250 0.750 0.500
Cr 0.750 0.250 0.500
Cu 0.392 0.392 0.000
Cu 0.608 0.608 0.000
! Energy above the most stable polymorph in this dataset   76 meV/atom
! VASP energy   -6.051 eV per atom
! Calculated density   7.41 g cm⁻³
! Space-group type   I4/mmm (139)
! Energy of formation   0.422 eV/atom